Entry 1:
# Tl2AsBr

A crystal of Tl2AsBr relaxed with PBEsol (meta-GGA SCAN, the Alexandria database).

a b c (Å): 5.4599 5.7197 3.4730
angles (deg): 90.00 90.00 90.00
Space group Pmm2 (No. 25)
Symmetry-distinct sites (fractional):
Tl (0.0000, 0.0000, 0.0000) (multiplicity 1)
Tl (0.5000, 0.5000, 0.1491) (multiplicity 1)
As (0.0000, 0.5000, 0.8450) (multiplicity 1)
Br (0.5000, 0.0000, 0.5163) (multiplicity 1)

Summary:
Calculated total energy ... -46.2671 eV per atom
Fermi-level density of states ... 1.800 states/eV/f.u.
E_form (uncorrected) ... -175 meV per atom
Theoretical density ... 8.629 g cm⁻³


Entry 2:
# YPdNO2

A crystal of YPdNO2 relaxed with PBEsol (meta-GGA SCAN, the Alexandria database).

a b c (Å): 4.2550 4.2550 4.4730
angles (deg): 90.00 90.00 90.00
Space group P4/mmm (No. 123)
Symmetry-distinct sites (fractional):
Y (0.0000, 0.0000, 0.0000) (multiplicity 1)
Pd (0.5000, 0.5000, 0.5000) (multiplicity 1)
N (0.0000, 0.0000, 0.5000) (multiplicity 1)
O (0.0000, 0.5000, 0.0000) (multiplicity 2)

Summary:
Calculated total energy ... -16.7066 eV per atom
Fermi-level density of states ... 3.627 states/eV/f.u.
E_form (uncorrected) ... -232 meV per atom
Theoretical density ... 4.948 g cm⁻³


What is the formula in the second record?
YPdNO2


Please write out number 1 again, unchanged.
# Tl2AsBr

A crystal of Tl2AsBr relaxed with PBEsol (meta-GGA SCAN, the Alexandria database).

a b c (Å): 5.4599 5.7197 3.4730
angles (deg): 90.00 90.00 90.00
Space group Pmm2 (No. 25)
Symmetry-distinct sites (fractional):
Tl (0.0000, 0.0000, 0.0000) (multiplicity 1)
Tl (0.5000, 0.5000, 0.1491) (multiplicity 1)
As (0.0000, 0.5000, 0.8450) (multiplicity 1)
Br (0.5000, 0.0000, 0.5163) (multiplicity 1)

Summary:
Calculated total energy ... -46.2671 eV per atom
Fermi-level density of states ... 1.800 states/eV/f.u.
E_form (uncorrected) ... -175 meV per atom
Theoretical density ... 8.629 g cm⁻³


Number 1 is which compound?
Tl2AsBr